Entry from Alexandria: a geometry-optimized KVCoOs2 structure (PBE).

* E: -23.10 eV per cell
* ΔH_f (0 K): 3.336 eV/atom

abc: 4.5547 4.5547 4.1048
angles: 90.00 90.00 90.00
Last column: nearest neighbours and their distance in Å.
Space group P4/mmm (No. 123)
Symmetry-distinct sites (fractional):
K  0.0000  0.0000  0.0000 [1 per cell]  2 Co 2.05, 4 Os 2.28
V  0.5000  0.5000  0.5000 [1 per cell]  8 Os 3.07, 4 Co 3.22
Co  0.0000  0.0000  0.5000 [1 per cell]  2 K 2.05
Os  0.0000  0.5000  0.0000 [2 per cell]  2 K 2.28

=====

Entry from Alexandria: a geometry-optimized KCo2P structure (PBE).

* E: -19.43 eV per cell
* ΔH_f (0 K): 0.323 eV/atom

abc: 2.8351 3.3401 7.5402
angles: 90.00 98.95 90.00
Last column: nearest neighbours and their distance in Å.
Space group P2/m (No. 10)
Symmetry-distinct sites (fractional):
K  0.0000  0.0000  0.0000 [1 per cell]  2 K 2.84
Co  0.3392  0.5000  0.6408 [2 per cell]  2 P 2.13
P  0.0000  0.0000  0.5000 [1 per cell]  4 Co 2.13

=====

Entry from Alexandria: a geometry-optimized KCo2P structure (PBE).

* E: -16.70 eV per cell
* ΔH_f (0 K): 1.004 eV/atom

abc: 4.3278 4.3278 3.1439
angles: 90.00 90.00 90.00
Last column: nearest neighbours and their distance in Å.
Space group P4/mmm (No. 123)
Symmetry-distinct sites (fractional):
K  0.0000  0.0000  0.0000 [1 per cell]  8 Co 2.67
Co  0.0000  0.5000  0.5000 [2 per cell]  4 P 2.67, 4 K 2.67
P  0.5000  0.5000  0.0000 [1 per cell]  8 Co 2.67